The following is a SCAN calculation of a PBEsol-optimized structure of MgCoBr2, from Alexandria via LeMat-Bulk. Values from VASP.

Calculated values
Its energy relative to the lowest polymorph listed for this composition is 313.5 meV per atom.

Geometry as Quantum ESPRESSO input:
```
&SYSTEM
  ibrav = 0, nat = 4, ntyp = 3
/
ATOMIC_SPECIES
Br 79.90 Br.upf
Co 58.93 Co.upf
Mg 24.30 Mg.upf
CELL_PARAMETERS angstrom
-1.111 2.149 -2.288
-1.763 -3.541 -2.470
-4.028 0.388 2.320
ATOMIC_POSITIONS crystal
Br 0.000 0.000 0.500
Co 0.500 0.500 0.500
Br 0.000 0.500 0.000
Mg 0.500 0.000 0.000
```



The following is a SCAN calculation of a PBEsol-optimized structure of MgCoSeBr2, from Alexandria via LeMat-Bulk. Values from VASP.

Calculated values
For the raw total energy, the calculation gives -81.470 eV for the cell shown.

Geometry as Quantum ESPRESSO input:
```
&SYSTEM
  ibrav = 0, nat = 5, ntyp = 4
/
ATOMIC_SPECIES
Mg 24.30 Mg.upf
Br 79.90 Br.upf
Co 58.93 Co.upf
Se 78.96 Se.upf
CELL_PARAMETERS angstrom
-1.529 -2.145 -4.225
2.798 -3.992 1.014
-3.990 -2.152 2.536
ATOMIC_POSITIONS crystal
Mg 0.000 0.000 0.000
Br 0.000 0.500 0.000
Co 0.500 0.500 0.500
Br 0.500 0.000 0.000
Se 0.000 0.000 0.500
```



The following is a SCAN calculation of a PBEsol-optimized structure of MnCoBr, from Alexandria via LeMat-Bulk. Values from VASP.

Calculated values
For the raw total energy, the calculation gives -53.681 eV for the cell shown.

Geometry as Quantum ESPRESSO input:
```
&SYSTEM
  ibrav = 0, nat = 3, ntyp = 3
/
ATOMIC_SPECIES
Mn 54.94 Mn.upf
Br 79.90 Br.upf
Co 58.93 Co.upf
CELL_PARAMETERS angstrom
3.140 0.000 0.000
0.000 4.003 0.000
0.000 -2.001 3.466
ATOMIC_POSITIONS crystal
Mn 0.346 0.333 0.667
Br 0.864 0.000 0.000
Co 0.791 0.667 0.333
```



The following is a SCAN calculation of a PBEsol-optimized structure of Co2MoBr, from Alexandria via LeMat-Bulk. Values from VASP.

Calculated values
Its energy relative to the lowest polymorph listed for this composition is 0.0 meV per atom.

Geometry as Quantum ESPRESSO input:
```
&SYSTEM
  ibrav = 0, nat = 4, ntyp = 3
/
ATOMIC_SPECIES
Br 79.90 Br.upf
Mo 95.94 Mo.upf
Co 58.93 Co.upf
CELL_PARAMETERS angstrom
2.973 0.000 0.000
0.000 3.125 0.023
0.000 -0.044 6.519
ATOMIC_POSITIONS crystal
Br 0.500 0.500 0.000
Mo 0.500 0.000 0.500
Co 0.000 0.500 0.309
Co 0.000 0.500 0.691
```



The following is a SCAN calculation of a PBEsol-optimized structure of CoMoBr2, from Alexandria via LeMat-Bulk. Values from VASP.

Calculated values
Its energy relative to the lowest polymorph listed for this composition is 618.8 meV per atom.

Geometry as Quantum ESPRESSO input:
```
&SYSTEM
  ibrav = 0, nat = 4, ntyp = 3
/
ATOMIC_SPECIES
Br 79.90 Br.upf
Co 58.93 Co.upf
Mo 95.94 Mo.upf
CELL_PARAMETERS angstrom
-2.607 0.171 1.551
1.698 -2.752 0.182
4.021 2.908 6.436
ATOMIC_POSITIONS crystal
Br 0.000 0.000 0.740
Co 0.500 0.000 0.500
Br 0.000 0.000 0.260
Mo 0.500 0.000 0.000
```



The following is a SCAN calculation of a PBEsol-optimized structure of Co2MoBr, from Alexandria via LeMat-Bulk. Values from VASP.

Calculated values
Its energy relative to the lowest polymorph listed for this composition is 450.4 meV per atom.

Geometry as Quantum ESPRESSO input:
```
&SYSTEM
  ibrav = 0, nat = 4, ntyp = 3
/
ATOMIC_SPECIES
Co 58.93 Co.upf
Mo 95.94 Mo.upf
Br 79.90 Br.upf
CELL_PARAMETERS angstrom
2.829 0.007 0.000
-0.287 4.478 0.000
-1.271 -2.242 4.247
ATOMIC_POSITIONS crystal
Co 0.500 0.500 0.500
Co 0.000 0.000 0.500
Mo 0.000 0.500 0.000
Br 0.500 0.000 0.000
```



The following is a SCAN calculation of a PBEsol-optimized structure of CoMoBr2, from Alexandria via LeMat-Bulk. Values from VASP.

Calculated values
Its energy relative to the lowest polymorph listed for this composition is 0.0 meV per atom.

Geometry as Quantum ESPRESSO input:
```
&SYSTEM
  ibrav = 0, nat = 4, ntyp = 3
/
ATOMIC_SPECIES
Br 79.90 Br.upf
Co 58.93 Co.upf
Mo 95.94 Mo.upf
CELL_PARAMETERS angstrom
-3.025 1.807 -0.053
-2.778 -1.266 -1.761
-4.255 -3.517 5.715
ATOMIC_POSITIONS crystal
Br 0.785 0.785 0.646
Co 0.515 0.515 0.456
Br 0.973 0.973 0.082
Mo 0.228 0.228 0.316
```



The following is a SCAN calculation of a PBEsol-optimized structure of Co2MoBr, from Alexandria via LeMat-Bulk. Values from VASP.

Calculated values
Its energy relative to the lowest polymorph listed for this composition is 126.2 meV per atom.

Geometry as Quantum ESPRESSO input:
```
&SYSTEM
  ibrav = 0, nat = 4, ntyp = 3
/
ATOMIC_SPECIES
Br 79.90 Br.upf
Mo 95.94 Mo.upf
Co 58.93 Co.upf
CELL_PARAMETERS angstrom
2.873 0.000 0.000
1.436 2.488 0.000
1.436 0.829 7.943
ATOMIC_POSITIONS crystal
Br 0.250 0.250 0.251
Mo 0.497 0.497 0.509
Co 0.746 0.746 0.762
Co 0.007 0.007 0.978
```



| no. | calculated volume (A^3/atom) |
| --- | --- |
| 1 | 18.11 |
| 2 | 25.75 |
| 3 | 14.52 |
| 4 | 15.14 |
| 5 | 17.66 |
| 6 | 13.45 |
| 7 | 20.65 |
| 8 | 14.19 |